No. 1
AgAuSe | PBE | optimized geometry

Unit cell a=7.7076 b=6.3377 c=5.8426 alpha=90.00 beta=90.00 gamma=90.10
Last column: nearest neighbours and their distance in Å.
Element x y z (fractional)
Au1 0.7294 0.4891 0.6949  2 Se 2.49-2.54
Se1 0.2244 0.1796 0.5419  2 Au 2.49-2.54, 2 Ag 2.66-2.73
Ag1 0.4596 0.8209 0.6429  3 Se 2.66-2.97, 1 Ag 2.89, 2 Au 2.91-2.98
Se2 0.7244 0.1796 0.9581  2 Au 2.49-2.54, 2 Ag 2.66-2.73
Au2 0.2706 0.5109 0.3051  2 Se 2.49-2.54
Au3 0.7706 0.5109 0.1949  2 Se 2.49-2.54
Au4 0.2294 0.4891 0.8051  2 Se 2.49-2.54
Se3 0.2756 0.8204 0.0419  2 Au 2.49-2.54, 2 Ag 2.66-2.73
Ag2 0.9596 0.8209 0.8571  3 Se 2.66-2.97, 1 Ag 2.89, 2 Au 2.91-2.98
Ag3 0.5404 0.1791 0.3571  3 Se 2.66-2.97, 1 Ag 2.89, 2 Au 2.91-2.98
Ag4 0.0404 0.1791 0.1429  3 Se 2.66-2.97, 1 Ag 2.89, 2 Au 2.91-2.98
Se4 0.7756 0.8204 0.4581  2 Au 2.49-2.54, 2 Ag 2.66-2.73

E_tot: -3.261 eV per atom
calculated volume: 23.78 Å³/atom
space group: P2_1/c (14)
total magnetic moment: 0.00 μB/f.u.
formation energy from raw total energies: -0.057 eV/atom

No. 2
TbDyHo | PBE | optimized geometry

Unit cell a=3.4926 b=5.3474 c=10.2254 alpha=90.00 beta=99.78 gamma=90.00
Last column: nearest neighbours and their distance in Å.
Element x y z (fractional)
Ho1 0.3827 0.2500 0.2639  2 Ho 3.49, 5 Dy 3.52-3.67, 6 Tb 3.54-3.67
Dy1 0.2069 0.2500 0.9145  1 Tb 3.33, 6 Dy 3.49-3.63, 5 Ho 3.52-3.67
Dy2 0.7931 0.7500 0.0855  1 Tb 3.33, 6 Dy 3.49-3.63, 5 Ho 3.52-3.67
Ho2 0.6173 0.7500 0.7361  2 Ho 3.49, 5 Dy 3.52-3.67, 6 Tb 3.54-3.67
Tb1 0.9583 0.7500 0.4163  4 Tb 3.16-3.49, 1 Dy 3.33
Tb2 0.0417 0.2500 0.5837  4 Tb 3.16-3.49, 1 Dy 3.33

energy relative to the lowest polymorph listed for this composition: 37.3 meV per atom
energy relative to the elements: 0.0541 eV per atom
E_tot: -4.549 eV per atom
calculated volume: 31.37 Å³/atom
space group: Cmcm (63)
total magnetic moment: 0.00 μB/f.u.
DOS at the Fermi energy: 9.8 states/eV/cell

No. 3
Pm3DyIr8 | PBE | optimized geometry

Unit cell a=5.4091 b=5.4091 c=9.3605 alpha=73.21 beta=73.21 gamma=60.00
Last column: nearest neighbours and their distance in Å.
Element x y z (fractional)
Ir1 0.4389 0.9377 0.6856  6 Ir 2.69-2.71
Pm1 0.3751 0.3751 0.8746  12 Ir 3.17-3.19, 4 Pm 3.31-3.32
Ir2 0.4371 0.4371 0.1893  6 Ir 2.69-2.71
Ir3 0.1876 0.1876 0.4372  6 Ir 2.69
Dy1 0.8749 0.8749 0.3754  12 Ir 3.15-3.17, 4 Pm 3.30-3.31
Ir4 0.9377 0.9377 0.6856  6 Ir 2.69-2.71
Ir5 0.6875 0.6875 0.9375  6 Ir 2.71
Ir6 0.9365 0.4371 0.1893  6 Ir 2.69-2.71
Ir7 0.9377 0.4389 0.6856  6 Ir 2.69-2.71
Ir8 0.4371 0.9365 0.1893  6 Ir 2.69-2.71
Pm2 0.9997 0.9997 0.0010  12 Ir 3.17-3.19, 1 Dy 3.30, 3 Pm 3.32
Pm3 0.5002 0.5002 0.4993  12 Ir 3.15-3.17, 3 Dy 3.31, 1 Pm 3.31

energy relative to the elements: -0.7463 eV per atom
E_tot: -8.225 eV per atom
calculated volume: 18.63 Å³/atom
space group: R3m (160)
total magnetic moment: 0.00 μB/f.u.
DOS at the Fermi energy: 9.6 states/eV/cell

No. 4
PmPrPtAu | PBE | optimized geometry

Unit cell a=3.9328 b=4.6966 c=5.8601 alpha=90.00 beta=109.61 gamma=90.00
Last column: nearest neighbours and their distance in Å.
Element x y z (fractional)
Pt1 0.4116 0.0000 0.8233  3 Pr 3.01-3.19, 2 Au 3.03, 4 Pm 3.11
Pm1 0.8640 0.5000 0.7279  3 Au 3.08-3.14, 4 Pt 3.11
Pr1 0.1390 0.0000 0.2779  3 Pt 3.01-3.19, 4 Au 3.12
Au1 0.5854 0.5000 0.1709  2 Pt 3.03, 3 Pm 3.08-3.14, 4 Pr 3.12

energy relative to the lowest polymorph listed for this composition: 0.0 meV per atom
energy relative to the elements: -0.9716 eV per atom
E_tot: -5.684 eV per atom
calculated volume: 25.49 Å³/atom
space group: Amm2 (38)
total magnetic moment: 0.00 μB/f.u.
DOS at the Fermi energy: 3.0 states/eV/cell